{"formula": "TlPH4", "functional": "PBE", "state": "relaxed", "lattice_angstrom": [[1.9954, -6.8299, 0.0000], [1.9954, 6.8299, 0.0000], [-0.0241, 0.0000, 6.2941]], "species": ["Tl", "Tl", "P", "P", "H", "H", "H", "H", "H", "H", "H", "H"], "frac_coords": [[0.1108, 0.8892, 0.7500], [0.8892, 0.1108, 0.2500], [0.3282, 0.6718, 0.7500], [0.6718, 0.3282, 0.2500], [0.1230, 0.3324, 0.7488], [0.3324, 0.1230, 0.2488], [0.3380, 0.6594, 0.0106], [0.3406, 0.6620, 0.4894], [0.6594, 0.3380, 0.5106], [0.6620, 0.3406, 0.9894], [0.6676, 0.8770, 0.7512], [0.8770, 0.6676, 0.2512]], "dft_energy_ev_per_atom": -3.35}